{
  "formula": "ZrAl2Co",
  "functional": "PBE-GGA",
  "state": "relaxed",
  "energy_ev_per_atom": -5.9050,
  "sg": "C2/m, No. 12",
  "cell": [[5.073, -0.020, 0.019], [-2.185, 4.578, 0.019], [0.140, 0.221, 2.797]],
  "species": ["Al", "Al", "Co", "Zr"],
  "frac_coords": [[0.500, 0.500, 0.000], [0.000, 0.000, 0.000], [0.500, 0.000, 0.500], [0.000, 0.500, 0.500]]
}